LaSi3Rh: optimized geometry, GGA-PBE.

The structure in POSCAR format:
```
LaSi3Rh
1.0
5.8522 -0.0001 0.0000
0.0002 5.6368 -0.0008
0.0001 0.0009 5.9690
La Si Rh
2 6 2
Direct
0.4330 0.3274 0.7008 La
0.9330 0.0254 0.2008 La
0.4255 0.2146 0.2008 Si
0.4315 0.8451 0.9904 Si
0.9315 0.5077 0.4904 Si
0.9255 0.1382 0.7008 Si
0.9315 0.5077 0.9112 Si
0.4315 0.8451 0.4112 Si
0.1565 0.7961 0.7008 Rh
0.6565 0.5566 0.2008 Rh
```

- uncorrected formation energy (eV per atom) = -0.679